Record 1
DFT (PBE) results for crystalline YErTh2 at its relaxed geometry.

Summary:
For the formation energy, the calculation gives 33 meV/atom. The calculation puts the polymorph energy (0 for the lowest one) at 0 meV/atom. The value obtained for the volume is 380.2 Å³/cell. Its total energy is -77.20 eV per cell. The total magnetization comes out at 0.0 μB/f.u.

```
data_YErTh2
_chemical_formula_sum 'Y3 Er3 Th6'
_space_group_name_H-M_alt 'R -3 m'
_space_group_IT_number 166
_space_group_name_Hall '-R 3 2"'
_cell_length_a 3.5687
_cell_length_b 3.5687
_cell_length_c 34.4691
_cell_angle_alpha 90.00
_cell_angle_beta 90.00
_cell_angle_gamma 120.00
loop_
_atom_site_label
_atom_site_fract_x
_atom_site_fract_y
_atom_site_fract_z
Y1 0.0000 0.0000 0.0000
Er1 0.0000 0.0000 0.5000
Th1 0.0000 0.0000 0.2492
```

---

Record 2
DFT (PBE) results for crystalline Y5ErTh2 at its relaxed geometry.

Summary:
For the formation energy, the calculation gives 97 meV/atom. The value obtained for the volume is 523.0 Å³/cell. Its total energy is -101.89 eV per cell. The total magnetization comes out at 0.0 μB/f.u.

```
data_Y5ErTh2
_chemical_formula_sum 'Y10 Er2 Th4'
_space_group_name_H-M_alt 'I m m m'
_space_group_IT_number 71
_space_group_name_Hall '-I 2 2'
_cell_length_a 3.525
_cell_length_b 11.228
_cell_length_c 13.213
_cell_angle_alpha 90.00
_cell_angle_beta 90.00
_cell_angle_gamma 90.00
loop_
_atom_site_label
_atom_site_fract_x
_atom_site_fract_y
_atom_site_fract_z
Y1 0.000 0.000 0.000
Y2 0.000 0.264 0.370
Er1 0.000 0.500 0.000
Th1 0.000 0.000 0.259
```